No. 1
First-principles (PBE-GGA) data for an optimized crystal structure of KTlRe2, as listed in the Alexandria database.

```
KTlRe2
1.0
0.009 2.690 -0.875
-2.371 -1.361 -0.725
-4.575 3.031 9.269
K Re Tl
1 2 1
direct
0.500 0.500 0.750
0.000 0.000 0.474
0.000 0.000 0.026
0.500 0.500 0.250
```

* N(E_F): 0.667 states/eV per atom
* SG: Cmmm
* ΔE_f: 133 kJ/mol of atoms



No. 2
First-principles (PBE-GGA) data for an optimized crystal structure of KTlRe2, as listed in the Alexandria database.

```
KTlRe2
1.0
2.832 0.000 0.000
0.000 4.868 0.000
0.000 0.000 7.093
Re K Tl
2 1 1
direct
0.000 0.000 0.089
0.000 0.000 0.411
0.500 0.500 0.750
0.500 0.500 0.250
```

* N(E_F): 1.060 states/eV per atom
* SG: Pmmm
* ΔE_f: 125 kJ/mol of atoms



No. 3
First-principles (PBE-GGA) data for an optimized crystal structure of KTl2Re, as listed in the Alexandria database.

```
KTl2Re
1.0
-0.216 -1.799 2.540
-1.890 -1.946 -1.541
7.816 -5.201 -3.018
Re K Tl
1 1 2
direct
0.500 0.500 0.750
0.500 0.500 0.250
0.000 0.000 0.537
0.000 0.000 0.963
```

* N(E_F): 0.453 states/eV per atom
* SG: P4/mmm
* ΔE_f: 69 kJ/mol of atoms



No. 4
First-principles (PBE-GGA) data for an optimized crystal structure of KTlRe2, as listed in the Alexandria database.

```
KTlRe2
1.0
-1.390 -2.329 -4.607
4.376 -3.114 3.185
-1.535 -1.960 1.112
Re K Tl
2 1 1
direct
0.000 0.000 0.000
0.500 0.000 0.500
0.500 0.500 0.000
0.000 0.500 0.500
```

* N(E_F): 0.880 states/eV per atom
* SG: C2/m
* ΔE_f: 142 kJ/mol of atoms



No. 5
First-principles (PBE-GGA) data for an optimized crystal structure of K2TlRe, as listed in the Alexandria database.

```
K2TlRe
1.0
-4.007 1.423 0.233
-1.060 -3.374 2.372
0.266 5.252 11.410
Tl Re K
2 2 4
direct
0.000 0.000 0.000
0.750 0.250 0.500
0.250 0.750 0.500
0.500 0.500 0.000
0.375 0.377 0.750
0.875 0.873 0.750
0.127 0.625 0.250
0.623 0.125 0.250
```

* N(E_F): 0.635 states/eV per atom
* SG: I-42d
* ΔE_f: 129 kJ/mol of atoms



No. 6
First-principles (PBE-GGA) data for an optimized crystal structure of KTlRe2, as listed in the Alexandria database.

```
KTlRe2
1.0
3.115 0.000 0.000
0.000 3.115 0.000
0.000 0.000 9.416
Tl Re K
1 2 1
direct
0.000 0.000 0.454
0.000 0.000 0.072
0.500 0.500 0.208
0.500 0.500 0.766
```

* N(E_F): 1.102 states/eV per atom
* SG: P4mm
* ΔE_f: 59 kJ/mol of atoms



The records above give, respectively, calculated density values of 12.836; 10.460; 10.969; 12.722; 7.040; 11.193 g/cm³.